This record from Alexandria via LeMat-Bulk describes crystalline Ac4GaGeSe2 at its relaxed geometry. The functional is PBE.

abc: 4.538 7.797 8.063
angles: 108.99 90.00 90.00
Element x y z (fractional)
Se 0.500 0.000 0.500
Se 0.000 0.500 0.500
Ac 0.500 0.244 0.243
Ac 0.500 0.756 0.757
Ac 0.000 0.248 0.751
Ac 0.000 0.752 0.249
Ge 0.000 0.000 0.000
Ga 0.500 0.500 0.000

Summary:
SG: P2/m
Calculated density: 7.4 Mg/m³

This record from Alexandria via LeMat-Bulk describes crystalline Ac2GaSiGe at its relaxed geometry. The functional is PBE.

abc: 4.260 7.850 8.626
angles: 89.99 90.00 90.00
Element x y z (fractional)
Ge 0.250 0.912 0.750
Ge 0.750 0.088 0.250
Ac 0.750 0.756 0.010
Ac 0.750 0.755 0.490
Ac 0.250 0.244 0.990
Ac 0.250 0.245 0.510
Si 0.750 0.429 0.750
Si 0.250 0.571 0.250
Ga 0.250 0.592 0.750
Ga 0.750 0.408 0.250

Summary:
SG: Pmmn
Calculated density: 7.2 Mg/m³

This record from Alexandria via LeMat-Bulk describes crystalline Ac3Ga6SiGe2 at its relaxed geometry. The functional is PBE.

abc: 6.324 6.324 8.625
angles: 90.00 90.00 120.00
Element x y z (fractional)
Ga 0.811 0.622 0.707
Ga 0.378 0.189 0.707
Ga 0.811 0.189 0.707
Ga 0.189 0.811 0.293
Ga 0.622 0.811 0.293
Ga 0.189 0.378 0.293
Si 0.000 0.000 0.500
Ge 0.667 0.333 0.967
Ge 0.333 0.667 0.033
Ac 0.000 0.000 0.000
Ac 0.333 0.667 0.639
Ac 0.667 0.333 0.361

Summary:
SG: P-3m1
Calculated density: 7.1 Mg/m³

no.,raw formation energy (eV per atom)
1,-1.216
2,-0.581
3,-0.229